Compound: Rb2Si2SnS6
Source: Alexandria
Functional: PBE
Structure: optimized geometry

E_form (uncorrected) ... -7.961 eV per formula unit
Energy ... -4.501 eV per atom

abc: 7.130 7.130 8.887
angles: 66.35 66.35 60.00
Element x y z (fractional)
Si1 0.415 0.415 0.755
S1 0.250 0.747 0.257
S2 0.750 0.253 0.743
S3 0.747 0.250 0.257
Rb1 0.783 0.783 0.651
S4 0.253 0.253 0.743
Si2 0.585 0.585 0.245
S5 0.747 0.747 0.257
Sn1 0.000 0.000 0.000
Rb2 0.217 0.217 0.349
S6 0.253 0.750 0.743


Compound: RbSrSi2S
Source: Alexandria
Functional: PBE
Structure: optimized geometry

E_form (uncorrected) ... 5.183 eV per formula unit
Energy ... -2.488 eV per atom

abc: 5.484 5.726 5.484
angles: 90.00 90.00 90.00
Element x y z (fractional)
Si1 0.500 0.000 0.000
Rb1 0.000 0.000 0.000
Si2 0.000 0.000 0.500
S1 0.000 0.500 0.000
Sr1 0.500 0.500 0.500